Entry 1:
{"formula": "Ac5In2Ga2", "functional": "PBE", "state": "relaxed", "lattice": [[8.808, -4.293, 0.000], [8.808, 4.293, 0.000], [0.000, 0.000, 8.389]], "species": ["Ac", "Ac", "Ac", "Ac", "Ac", "Ac", "Ac", "Ac", "Ac", "Ac", "In", "In", "In", "In", "Ga", "Ga", "Ga", "Ga"], "fractional_positions": [[0.000, 0.000, 0.000], [0.055, 0.678, 0.678], [0.178, 0.555, 0.178], [0.322, 0.945, 0.678], [0.445, 0.822, 0.178], [0.500, 0.500, 0.500], [0.555, 0.178, 0.822], [0.678, 0.055, 0.322], [0.822, 0.445, 0.822], [0.945, 0.322, 0.322], [0.218, 0.218, 0.000], [0.282, 0.282, 0.500], [0.718, 0.718, 0.500], [0.782, 0.782, 0.000], [0.109, 0.891, 0.387], [0.391, 0.609, 0.887], [0.609, 0.391, 0.113], [0.891, 0.109, 0.613]], "ef_mev_per_atom": -376.7, "magmom_total_mub_per_cell": 0.00, "mass_density_g_cm3": 7.874, "dft_energy_ev_per_cell": -70.9}

Entry 2:
{"formula": "Ac4InGa", "functional": "PBE", "state": "relaxed", "lattice": [[6.657, 0.000, 0.000], [0.000, 7.440, 0.000], [-3.019, 0.000, 9.198]], "species": ["Ac", "Ac", "Ac", "Ac", "Ac", "Ac", "Ac", "Ac", "In", "In", "Ga", "Ga"], "fractional_positions": [[0.158, 0.250, 0.066], [0.274, 0.506, 0.741], [0.274, 0.994, 0.741], [0.282, 0.750, 0.361], [0.718, 0.250, 0.639], [0.726, 0.006, 0.259], [0.726, 0.494, 0.259], [0.842, 0.750, 0.934], [0.202, 0.250, 0.422], [0.798, 0.750, 0.578], [0.364, 0.750, 0.040], [0.636, 0.250, 0.960]], "ef_mev_per_atom": -264.8, "magmom_total_mub_per_cell": 0.00, "mass_density_g_cm3": 7.965, "e_above_lowest_polymorph_mev_per_atom": 0, "dft_energy_ev_per_cell": -47.6}

Entry 3:
{"formula": "AcInGa", "functional": "PBE", "state": "relaxed", "lattice": [[0.000, 3.590, 3.590], [3.590, 0.000, 3.590], [3.590, 3.590, 0.000]], "species": ["Ac", "In", "Ga"], "fractional_positions": [[0.000, 0.000, 0.000], [0.500, 0.500, 0.500], [0.750, 0.750, 0.750]], "ef_mev_per_atom": -367.0, "magmom_total_mub_per_cell": 0.00, "mass_density_g_cm3": 7.382, "e_above_lowest_polymorph_mev_per_atom": 177, "dft_energy_ev_per_cell": -11.0}

Entry 4:
{"formula": "Ac2InGa", "functional": "PBE", "state": "relaxed", "lattice": [[0.000, 4.031, 4.031], [4.031, 0.000, 4.031], [4.031, 4.031, 0.000]], "species": ["Ac", "Ac", "In", "Ga"], "fractional_positions": [[0.250, 0.250, 0.250], [0.750, 0.750, 0.750], [0.000, 0.000, 0.000], [0.500, 0.500, 0.500]], "ef_mev_per_atom": -409.5, "magmom_total_mub_per_cell": 0.00, "mass_density_g_cm3": 8.093, "dft_energy_ev_per_cell": -15.6}

Entry 5:
{"formula": "AcIn2Ga", "functional": "PBE", "state": "relaxed", "lattice": [[2.385, 1.377, 5.878], [-2.385, 1.377, 5.878], [0.000, -2.754, 5.878]], "species": ["Ac", "In", "In", "Ga"], "fractional_positions": [[0.000, 0.000, 0.000], [0.220, 0.220, 0.220], [0.780, 0.780, 0.780], [0.500, 0.500, 0.500]], "ef_mev_per_atom": -296.5, "magmom_total_mub_per_cell": 0.00, "mass_density_g_cm3": 7.546, "e_above_lowest_polymorph_mev_per_atom": 109, "dft_energy_ev_per_cell": -13.8}

Entry 6:
{"formula": "AcIn4Ga", "functional": "PBE", "state": "relaxed", "lattice": [[0.000, 4.404, 4.404], [4.404, 0.000, 4.404], [4.404, 4.404, 0.000]], "species": ["Ac", "In", "In", "In", "In", "Ga"], "fractional_positions": [[0.000, 0.000, 0.000], [0.126, 0.625, 0.625], [0.625, 0.126, 0.625], [0.625, 0.625, 0.126], [0.625, 0.625, 0.625], [0.250, 0.250, 0.250]], "ef_mev_per_atom": -130.1, "magmom_total_mub_per_cell": 0.00, "mass_density_g_cm3": 7.348, "dft_energy_ev_per_cell": -18.9}

Entry 7:
{"formula": "Ac3In2Ga", "functional": "PBE", "state": "relaxed", "lattice": [[13.449, 0.000, 0.000], [0.000, 4.705, 0.000], [0.000, 0.000, 13.323]], "species": ["Ac", "Ac", "Ac", "Ac", "Ac", "Ac", "Ac", "Ac", "Ac", "Ac", "Ac", "Ac", "In", "In", "In", "In", "In", "In", "In", "In", "Ga", "Ga", "Ga", "Ga"], "fractional_positions": [[0.062, 0.250, 0.118], [0.115, 0.750, 0.550], [0.212, 0.250, 0.789], [0.288, 0.750, 0.289], [0.385, 0.250, 0.050], [0.438, 0.750, 0.618], [0.562, 0.250, 0.382], [0.615, 0.750, 0.950], [0.712, 0.250, 0.711], [0.788, 0.750, 0.211], [0.885, 0.250, 0.450], [0.938, 0.750, 0.882], [0.023, 0.750, 0.309], [0.198, 0.750, 0.993], [0.302, 0.250, 0.493], [0.477, 0.250, 0.809], [0.523, 0.750, 0.191], [0.698, 0.750, 0.507], [0.802, 0.250, 0.007], [0.977, 0.250, 0.691], [0.137, 0.250, 0.355], [0.363, 0.750, 0.855], [0.637, 0.250, 0.145], [0.863, 0.750, 0.645]], "ef_mev_per_atom": -417.6, "magmom_total_mub_per_cell": 0.00, "mass_density_g_cm3": 7.724, "e_above_lowest_polymorph_mev_per_atom": 6, "dft_energy_ev_per_cell": -93.3}

Entry 8:
{"formula": "AcInGa", "functional": "PBE", "state": "relaxed", "lattice": [[-1.874, 1.874, 6.073], [1.874, -1.874, 6.073], [1.874, 1.874, -6.073]], "species": ["Ac", "In", "Ga"], "fractional_positions": [[0.000, 0.000, 0.000], [0.300, 0.300, 0.000], [0.679, 0.679, 0.000]], "ef_mev_per_atom": -291.2, "magmom_total_mub_per_cell": 0.00, "mass_density_g_cm3": 8.009, "e_above_lowest_polymorph_mev_per_atom": 252, "dft_energy_ev_per_cell": -10.7}